Density functional theory data (PBE-GGA) for TmZrZn after structural relaxation.

**SG**: Cmcm
**Theoretical density**: 8127 kg/m3
**Density of states at the Fermi level**: 2.17 states/eV/f.u.
**ΔH_f (0 K)**: -0.214 eV/atom
**Magnetic moment**: 0.0 μB per formula unit

Cell lengths 3.372, 15.904, 4.961 Å; angles 90.00, 90.00, 90.00 degrees
Fractional coordinates of all 12 atoms:
1 Tm 0.000 0.086 0.250
2 Tm 0.000 0.914 0.750
3 Tm 0.500 0.414 0.750
4 Tm 0.500 0.586 0.250
5 Zr 0.000 0.225 0.750
6 Zr 0.000 0.775 0.250
7 Zr 0.500 0.275 0.250
8 Zr 0.500 0.725 0.750
9 Zn 0.000 0.432 0.250
10 Zn 0.000 0.568 0.750
11 Zn 0.500 0.068 0.750
12 Zn 0.500 0.932 0.250

Density functional theory data (PBE-GGA) for TmZrZn4 after structural relaxation.

**SG**: F-43m
**Theoretical density**: 8122 kg/m3
**Density of states at the Fermi level**: 6.13 states/eV/f.u.
**ΔH_f (0 K)**: -0.268 eV/atom
**Magnetic moment**: 1.3 μB per formula unit

Cell lengths 5.324, 5.324, 5.324 Å; angles 60.00, 60.00, 60.00 degrees
Fractional coordinates of all 6 atoms:
1 Tm 0.000 0.000 0.000
2 Zr 0.750 0.750 0.750
3 Zn 0.376 0.376 0.376
4 Zn 0.376 0.376 0.873
5 Zn 0.376 0.873 0.376
6 Zn 0.873 0.376 0.376

Density functional theory data (PBE-GGA) for TmZrZn17 after structural relaxation.

**SG**: R3m
**Theoretical density**: 7681 kg/m3
**Density of states at the Fermi level**: 4.39 states/eV/f.u.
**ΔH_f (0 K)**: -0.170 eV/atom
**Magnetic moment**: 0.0 μB per formula unit

Cell lengths 6.720, 6.720, 6.720 Å; angles 82.65, 82.65, 82.65 degrees
Fractional coordinates of all 19 atoms:
1 Tm 0.000 0.000 0.000
2 Zr 0.667 0.667 0.667
3 Zn 0.033 0.337 0.635
4 Zn 0.033 0.635 0.337
5 Zn 0.184 0.686 0.686
6 Zn 0.238 0.238 0.238
7 Zn 0.329 0.329 0.842
8 Zn 0.329 0.842 0.329
9 Zn 0.337 0.033 0.635
10 Zn 0.337 0.635 0.033
11 Zn 0.439 0.439 0.439
12 Zn 0.510 0.976 0.976
13 Zn 0.635 0.033 0.337
14 Zn 0.635 0.337 0.033
15 Zn 0.686 0.184 0.686
16 Zn 0.686 0.686 0.184
17 Zn 0.842 0.329 0.329
18 Zn 0.976 0.510 0.976
19 Zn 0.976 0.976 0.510

Density functional theory data (PBE-GGA) for TmZrZn4 after structural relaxation.

**SG**: Immm
**Theoretical density**: 7824 kg/m3
**Density of states at the Fermi level**: 4.14 states/eV/f.u.
**ΔH_f (0 K)**: -0.323 eV/atom
**Magnetic moment**: 0.0 μB per formula unit

Cell lengths 4.340, 6.662, 7.660 Å; angles 90.00, 90.00, 90.00 degrees
Fractional coordinates of all 12 atoms:
1 Tm 0.000 0.000 0.000
2 Tm 0.500 0.500 0.500
3 Zr 0.000 0.500 0.000
4 Zr 0.500 0.000 0.500
5 Zn 0.000 0.228 0.333
6 Zn 0.000 0.228 0.667
7 Zn 0.000 0.772 0.333
8 Zn 0.000 0.772 0.667
9 Zn 0.500 0.272 0.167
10 Zn 0.500 0.272 0.833
11 Zn 0.500 0.728 0.167
12 Zn 0.500 0.728 0.833

Density functional theory data (PBE-GGA) for TmZr2Zn3 after structural relaxation.

**SG**: P4/mmm
**Theoretical density**: 7741 kg/m3
**Density of states at the Fermi level**: 4.67 states/eV/f.u.
**ΔH_f (0 K)**: -0.285 eV/atom
**Magnetic moment**: 0.0 μB per formula unit

Cell lengths 3.412, 3.412, 10.088 Å; angles 90.00, 90.00, 90.00 degrees
Fractional coordinates of all 6 atoms:
1 Tm 0.000 0.000 0.000
2 Zr 0.000 0.000 0.339
3 Zr 0.000 0.000 0.661
4 Zn 0.500 0.500 0.180
5 Zn 0.500 0.500 0.500
6 Zn 0.500 0.500 0.820

Density functional theory data (PBE-GGA) for Tm2ZrZn4 after structural relaxation.

**SG**: I4/mmm
**Theoretical density**: 7610 kg/m3
**Density of states at the Fermi level**: 3.95 states/eV/f.u.
**ΔH_f (0 K)**: -0.135 eV/atom
**Magnetic moment**: 0.0 μB per formula unit

Cell lengths 4.983, 4.983, 12.142 Å; angles 90.00, 90.00, 90.00 degrees
Fractional coordinates of all 14 atoms:
1 Tm 0.000 0.000 0.229
2 Tm 0.000 0.000 0.771
3 Tm 0.500 0.500 0.271
4 Tm 0.500 0.500 0.729
5 Zr 0.000 0.000 0.500
6 Zr 0.500 0.500 0.000
7 Zn 0.000 0.500 0.107
8 Zn 0.000 0.500 0.393
9 Zn 0.000 0.500 0.607
10 Zn 0.000 0.500 0.893
11 Zn 0.500 0.000 0.107
12 Zn 0.500 0.000 0.393
13 Zn 0.500 0.000 0.607
14 Zn 0.500 0.000 0.893

Density functional theory data (PBE-GGA) for TmZrZn after structural relaxation.

**SG**: I4mm
**Theoretical density**: 8091 kg/m3
**Density of states at the Fermi level**: 2.33 states/eV/f.u.
**ΔH_f (0 K)**: -0.179 eV/atom
**Magnetic moment**: 0.0 μB per formula unit

Cell lengths 3.350, 3.350, 11.904 Å; angles 90.00, 90.00, 90.00 degrees
Fractional coordinates of all 6 atoms:
1 Tm 0.000 0.000 0.000
2 Tm 0.500 0.500 0.500
3 Zr 0.000 0.000 0.311
4 Zr 0.500 0.500 0.811
5 Zn 0.000 0.000 0.666
6 Zn 0.500 0.500 0.166

Density functional theory data (PBE-GGA) for TmZr2Zn6 after structural relaxation.

**SG**: P6/mmm
**Theoretical density**: 7611 kg/m3
**Density of states at the Fermi level**: 5.49 states/eV/f.u.
**ΔH_f (0 K)**: -0.310 eV/atom
**Magnetic moment**: 0.0 μB per formula unit

Cell lengths 7.576, 7.576, 3.265 Å; angles 90.00, 90.00, 120.00 degrees
Fractional coordinates of all 9 atoms:
1 Tm 0.000 0.000 0.000
2 Zr 0.333 0.667 0.000
3 Zr 0.667 0.333 0.000
4 Zn 0.000 0.337 0.500
5 Zn 0.000 0.663 0.500
6 Zn 0.337 0.000 0.500
7 Zn 0.337 0.337 0.500
8 Zn 0.663 0.000 0.500
9 Zn 0.663 0.663 0.500

Which value of theoretical density does entry 3 give?
7681 kg/m3

What did the first record say?
Density functional theory data (PBE-GGA) for TmZrZn after structural relaxation.

**SG**: Cmcm
**Theoretical density**: 8127 kg/m3
**Density of states at the Fermi level**: 2.17 states/eV/f.u.
**ΔH_f (0 K)**: -0.214 eV/atom
**Magnetic moment**: 0.0 μB per formula unit

Cell lengths 3.372, 15.904, 4.961 Å; angles 90.00, 90.00, 90.00 degrees
Fractional coordinates of all 12 atoms:
1 Tm 0.000 0.086 0.250
2 Tm 0.000 0.914 0.750
3 Tm 0.500 0.414 0.750
4 Tm 0.500 0.586 0.250
5 Zr 0.000 0.225 0.750
6 Zr 0.000 0.775 0.250
7 Zr 0.500 0.275 0.250
8 Zr 0.500 0.725 0.750
9 Zn 0.000 0.432 0.250
10 Zn 0.000 0.568 0.750
11 Zn 0.500 0.068 0.750
12 Zn 0.500 0.932 0.250

Number 2 is which compound?
TmZrZn4